A plane-wave DFT calculation with GGA-PBE was carried out for an optimized crystal structure of Y2Tm2Ir3.

- size of the total moment (μB per formula unit) = 0.000
- calculated density (g/cm³) = 11.65
- final energy (eV/atom) = -7.77
- energy relative to the elements (eV/atom) = -0.85

Cell lengths 4.7639, 4.7648, 8.3873 Å; angles 89.95, 106.59, 120.01 degrees
Last column: nearest neighbours and their distance in Å.
Fractional positions:
Y (0.2502, 0.1252, 0.3754)  5 Ir 2.93-3.00
Y (0.7498, 0.8748, 0.6246)  5 Ir 2.93-3.00
Tm (0.7510, 0.3756, 0.1259)  7 Ir 2.91-2.94
Tm (0.2490, 0.6244, 0.8741)  7 Ir 2.91-2.94
Ir (0.0000, 0.0000, 0.0000)  6 Tm 2.92-2.93, 2 Y 2.97
Ir (0.5028, 0.2511, 0.7545)  4 Tm 2.91-2.94, 4 Y 2.93-3.00
Ir (0.4972, 0.7489, 0.2455)  4 Tm 2.91-2.94, 4 Y 2.93-3.00